Arrangement one

This record from Alexandria via LeMat-Bulk describes a relaxed MnAl2V2 crystal. The functional is PBE.

Cell and atoms, written as CIF:
```
data_MnAl2V2
_chemical_formula_sum 'Mn2 Al4 V4'
_symmetry_space_group_name_H-M 'P 4/m b m'
_symmetry_Int_Tables_number 127
_symmetry_space_group_name_Hall '-P 4 2ab'
_cell_length_a 6.575
_cell_length_b 6.575
_cell_length_c 3.377
_cell_angle_alpha 90.00
_cell_angle_beta 90.00
_cell_angle_gamma 90.00
loop_
_atom_site_label
_atom_site_fract_x
_atom_site_fract_y
_atom_site_fract_z
Mn1 0.000 0.000 0.000
Al1 0.135 0.365 0.000
V1 0.167 0.667 0.500
```

Arrangement two

This record from Alexandria via LeMat-Bulk describes a relaxed MnAl2V2 crystal. The functional is PBE.

Cell and atoms, written as CIF:
```
data_MnAl2V2
_chemical_formula_sum 'Mn1 Al2 V2'
_symmetry_space_group_name_H-M 'P 1 2/m 1'
_symmetry_Int_Tables_number 10
_cell_length_a 2.787
_cell_length_b 2.850
_cell_length_c 9.167
_cell_angle_alpha 90.00
_cell_angle_beta 98.68
_cell_angle_gamma 90.00
loop_
_symmetry_equiv_pos_as_xyz
'x,y,z'
'-x,-y,-z'
'-x,y,-z'
'x,-y,z'
loop_
_atom_site_label
_atom_site_fract_x
_atom_site_fract_y
_atom_site_fract_z
Mn1 0.000 0.000 0.000
Al1 0.182 0.000 0.364
V1 0.419 0.500 0.841
```

Arrangement three

This record from Alexandria via LeMat-Bulk describes a relaxed MnAl2V2 crystal. The functional is PBE.

Cell and atoms, written as CIF:
```
data_MnAl2V2
_chemical_formula_sum 'Mn4 Al8 V8'
_symmetry_space_group_name_H-M 'I 41/a m d'
_symmetry_Int_Tables_number 141
_cell_length_a 4.057
_cell_length_b 4.057
_cell_length_c 17.811
_cell_angle_alpha 90.00
_cell_angle_beta 90.00
_cell_angle_gamma 90.00
loop_
_symmetry_equiv_pos_as_xyz
'x,y,z'
'-x,-y,-z'
'-y+1/4,x+3/4,z+1/4'
'y+1/4,-x+3/4,-z+1/4'
'-x+1/2,-y,z+1/2'
'x+1/2,y,-z+1/2'
'y+1/4,-x+1/4,z+3/4'
'-y+1/4,x+1/4,-z+3/4'
'x,-y,-z'
'-x,y,z'
'-y+1/4,-x+1/4,-z+3/4'
'y+1/4,x+1/4,z+3/4'
'-x+1/2,y,-z+1/2'
'x+1/2,-y,z+1/2'
'y+1/4,x+3/4,-z+1/4'
'-y+1/4,-x+3/4,z+1/4'
'x+1/2,y+1/2,z+1/2'
'-x+1/2,-y+1/2,-z+1/2'
'-y+3/4,x+1/4,z+3/4'
'y+3/4,-x+1/4,-z+3/4'
'-x,-y+1/2,z'
'x,y+1/2,-z'
'y+3/4,-x+3/4,z+1/4'
'-y+3/4,x+3/4,-z+1/4'
'x+1/2,-y+1/2,-z+1/2'
'-x+1/2,y+1/2,z+1/2'
'-y+3/4,-x+3/4,-z+1/4'
'y+3/4,x+3/4,z+1/4'
'-x,y+1/2,-z'
'x,-y+1/2,z'
'y+3/4,x+1/4,-z+3/4'
'-y+3/4,-x+1/4,z+3/4'
loop_
_atom_site_label
_atom_site_fract_x
_atom_site_fract_y
_atom_site_fract_z
Mn1 0.000 0.250 0.375
Al1 0.000 0.250 0.051
V1 0.000 0.250 0.201
```

Most stable pick: arrangement two. Distance to second place: 0.089 eV/atom.